1.
A relaxed Pr2ThRh crystal. Source: Alexandria, functional PBE.

DFT formation energy: 6 meV/atom
Spin magnetization: 0.0 μB per cell

Cell and atoms, written as CIF:
```
data_Pr2ThRh
_chemical_formula_sum 'Pr6 Th3 Rh3'
_symmetry_space_group_name_H-M 'R -3 m'
_symmetry_Int_Tables_number 166
_symmetry_space_group_name_Hall '-R 3 2"'
_cell_length_a 3.6790
_cell_length_b 3.6790
_cell_length_c 32.5276
_cell_angle_alpha 90.00
_cell_angle_beta 90.00
_cell_angle_gamma 120.00
loop_
_atom_site_label
_atom_site_type_symbol
_atom_site_fract_x
_atom_site_fract_y
_atom_site_fract_z
_atom_site_occupancy
Pr1 Pr 0.0000 0.0000 0.1088 1
Th1 Th 0.0000 0.0000 0.0000 1
Rh1 Rh 0.0000 0.0000 0.5000 1
```


2.
A relaxed CdIr2W crystal. Source: Alexandria, functional PBE.

DFT formation energy: 347 meV/atom
Spin magnetization: 0.0 μB per cell

Cell and atoms, written as CIF:
```
data_CdIr2W
_chemical_formula_sum 'Cd1 Ir2 W1'
_symmetry_space_group_name_H-M 'P 4/m m m'
_symmetry_Int_Tables_number 123
_symmetry_space_group_name_Hall '-P 4 2'
_cell_length_a 4.1415
_cell_length_b 4.1415
_cell_length_c 3.7533
_cell_angle_alpha 90.00
_cell_angle_beta 90.00
_cell_angle_gamma 90.00
loop_
_atom_site_label
_atom_site_type_symbol
_atom_site_fract_x
_atom_site_fract_y
_atom_site_fract_z
_atom_site_occupancy
Cd1 Cd 0.0000 0.0000 0.0000 1
Ir1 Ir 0.0000 0.5000 0.5000 1
W1 W 0.5000 0.5000 0.0000 1
```


3.
A relaxed Pm6Si3Cl crystal. Source: Alexandria, functional PBE.

Formation energy (no corrections): -0.661 eV per atom
Spin magnetization: 0.0 μB per cell

Cell and atoms, written as CIF:
```
data_Pm6Si3Cl
_chemical_formula_sum 'Pm24 Si12 Cl4'
_symmetry_space_group_name_H-M 'C m c 21'
_symmetry_Int_Tables_number 36
_symmetry_space_group_name_Hall 'C 2c -2'
_cell_length_a 11.6196
_cell_length_b 14.1619
_cell_length_c 7.0912
_cell_angle_alpha 90.00
_cell_angle_beta 90.00
_cell_angle_gamma 90.00
loop_
_atom_site_label
_atom_site_type_symbol
_atom_site_fract_x
_atom_site_fract_y
_atom_site_fract_z
_atom_site_occupancy
Pm1 Pm 0.0000 0.0096 0.0000 1
Pm2 Pm 0.0000 0.2406 0.6274 1
Pm3 Pm 0.1644 0.4658 0.5848 1
Pm4 Pm 0.1653 0.2639 0.0698 1
Si1 Si 0.0000 0.3979 0.8933 1
Si2 Si 0.1776 0.1066 0.7736 1
Cl1 Cl 0.0000 0.1569 0.2657 1
```


4.
A relaxed In2NiAg crystal. Source: Alexandria, functional PBE.

DFT formation energy: 77 meV/atom
ΔE to the lowest computed polymorph: 111 meV/atom
Spin magnetization: 0.0 μB per cell

Cell and atoms, written as CIF:
```
data_In2NiAg
_chemical_formula_sum 'In2 Ni1 Ag1'
_symmetry_space_group_name_H-M 'P m m 2'
_symmetry_Int_Tables_number 25
_symmetry_space_group_name_Hall 'P 2 -2'
_cell_length_a 3.5390
_cell_length_b 3.6523
_cell_length_c 5.8604
_cell_angle_alpha 90.00
_cell_angle_beta 90.00
_cell_angle_gamma 90.00
loop_
_atom_site_label
_atom_site_type_symbol
_atom_site_fract_x
_atom_site_fract_y
_atom_site_fract_z
_atom_site_occupancy
In1 In 0.0000 0.0000 0.0000 1
In2 In 0.5000 0.5000 0.3163 1
Ni1 Ni 0.0000 0.0000 0.5030 1
Ag1 Ag 0.5000 0.5000 0.7752 1
```


5.
A relaxed Li2PrGa2Ge2 crystal. Source: Alexandria, functional PBE.

DFT formation energy: -446 meV/atom
Spin magnetization: 0.0 μB per cell

Cell and atoms, written as CIF:
```
data_Li2PrGa2Ge2
_chemical_formula_sum 'Li6 Pr3 Ga6 Ge6'
_symmetry_space_group_name_H-M 'R -3 m'
_symmetry_Int_Tables_number 166
_symmetry_space_group_name_Hall '-R 3 2"'
_cell_length_a 4.4014
_cell_length_b 4.4014
_cell_length_c 23.7839
_cell_angle_alpha 90.00
_cell_angle_beta 90.00
_cell_angle_gamma 120.00
loop_
_atom_site_label
_atom_site_type_symbol
_atom_site_fract_x
_atom_site_fract_y
_atom_site_fract_z
_atom_site_occupancy
Li1 Li 0.0000 0.0000 0.1431 1
Pr1 Pr 0.0000 0.0000 0.0000 1
Ga1 Ga 0.0000 0.0000 0.4418 1
Ge1 Ge 0.0000 0.0000 0.2559 1
```


6.
A relaxed MnReSb crystal. Source: Alexandria, functional PBE.

Formation energy (no corrections): 0.248 eV per atom
ΔE to the lowest computed polymorph: 0 meV/atom
Spin magnetization: 0.0 μB per cell

Cell and atoms, written as CIF:
```
data_MnReSb
_chemical_formula_sum 'Mn4 Re4 Sb4'
_symmetry_space_group_name_H-M 'F -4 3 m'
_symmetry_Int_Tables_number 216
_symmetry_space_group_name_Hall 'F -4 2 3'
_cell_length_a 5.8746
_cell_length_b 5.8746
_cell_length_c 5.8746
_cell_angle_alpha 90.00
_cell_angle_beta 90.00
_cell_angle_gamma 90.00
loop_
_atom_site_label
_atom_site_type_symbol
_atom_site_fract_x
_atom_site_fract_y
_atom_site_fract_z
_atom_site_occupancy
Mn1 Mn 0.0000 0.0000 0.0000 1
Re1 Re 0.2500 0.2500 0.2500 1
Sb1 Sb 0.2500 0.2500 0.7500 1
```


no.,density of states at the Fermi level (states/eV/cell)
1,15.1
2,4.0
3,41.3
4,1.8
5,6.1
6,8.6